VASP calculation (GGA-PBE) on a geometry-optimized Tl2In2Co structure.

Results
The calculation puts the density at 8.7 Mg/m³. The calculated formation energy comes out at 0.339 eV per atom.

abc: 6.808 6.808 5.747
angles: 90.00 90.00 90.00
Fractional coordinates of all 10 atoms:
Tl 0.182 0.318 0.000
Tl 0.318 0.818 0.000
Tl 0.682 0.182 0.000
Tl 0.818 0.682 0.000
In 0.170 0.670 0.500
In 0.330 0.170 0.500
In 0.670 0.830 0.500
In 0.830 0.330 0.500
Co 0.000 0.000 0.500
Co 0.500 0.500 0.500

VASP calculation (GGA-PBE) on a geometry-optimized NaBiPt2 structure.

Results
The calculation puts the density at 13.6 Mg/m³. The calculated formation energy comes out at -0.149 eV per atom.

abc: 4.294 4.294 4.125
angles: 90.00 90.00 90.00
Fractional coordinates of all 4 atoms:
Na 0.000 0.000 0.000
Bi 0.500 0.500 0.000
Pt 0.000 0.500 0.500
Pt 0.500 0.000 0.500

VASP calculation (GGA-PBE) on a geometry-optimized In3Fe structure.

Results
The calculation puts the density at 7.5 Mg/m³. The calculated formation energy comes out at 0.313 eV per atom.

abc: 3.197 3.197 9.977
angles: 90.00 90.00 120.00
Fractional coordinates of all 4 atoms:
In 0.000 0.000 0.000
In 0.667 0.333 0.290
In 0.667 0.333 0.710
Fe 0.000 0.000 0.500

VASP calculation (GGA-PBE) on a geometry-optimized LaPm2ReN4 structure.

Results
The calculation puts the density at 8.6 Mg/m³. For the raw formation energy, the calculation gives -90 kJ/mol of atoms.

abc: 6.296 6.296 12.014
angles: 90.00 90.00 147.21
Fractional coordinates of all 16 atoms:
La 0.114 0.886 0.750
La 0.886 0.114 0.250
Pm 0.368 0.632 0.540
Pm 0.368 0.632 0.960
Pm 0.632 0.368 0.040
Pm 0.632 0.368 0.460
Re 0.151 0.849 0.250
Re 0.849 0.151 0.750
N 0.000 0.000 0.000
N 0.000 0.000 0.500
N 0.267 0.733 0.133
N 0.267 0.733 0.367
N 0.425 0.575 0.750
N 0.575 0.425 0.250
N 0.733 0.267 0.633
N 0.733 0.267 0.867

VASP calculation (GGA-PBE) on a geometry-optimized Dy2TePd structure.

Results
The calculation puts the density at 8.9 Mg/m³. The value obtained for the energy above the lowest structure with this stoichiometry is 0.00 kJ per mole of atoms. For the raw formation energy, the calculation gives -104 kJ/mol of atoms.

abc: 11.713 11.713 4.516
angles: 90.00 90.00 160.38
Fractional coordinates of all 8 atoms:
Dy 0.058 0.942 0.750
Dy 0.335 0.665 0.750
Dy 0.665 0.335 0.250
Dy 0.942 0.058 0.250
Te 0.195 0.805 0.750
Te 0.805 0.195 0.250
Pd 0.460 0.540 0.750
Pd 0.540 0.460 0.250

VASP calculation (GGA-PBE) on a geometry-optimized Rb2BiO2 structure.

Results
The calculation puts the density at 5.0 Mg/m³. For the raw formation energy, the calculation gives -109 kJ/mol of atoms.

abc: 7.779 5.730 12.277
angles: 90.00 90.00 90.00
Fractional coordinates of all 20 atoms:
Rb 0.119 0.250 0.105
Rb 0.127 0.250 0.778
Rb 0.373 0.750 0.278
Rb 0.381 0.750 0.605
Rb 0.619 0.250 0.395
Rb 0.627 0.250 0.722
Rb 0.873 0.750 0.222
Rb 0.881 0.750 0.895
Bi 0.126 0.250 0.457
Bi 0.374 0.750 0.957
Bi 0.626 0.250 0.043
Bi 0.874 0.750 0.543
O 0.181 0.750 0.077
O 0.222 0.750 0.815
O 0.278 0.250 0.315
O 0.319 0.250 0.577
O 0.681 0.750 0.423
O 0.722 0.750 0.685
O 0.778 0.250 0.185
O 0.819 0.250 0.923

Total energy list, top to bottom, in eV per cell: -31.24, -17.88, -15.43, -135.35, -43.69, -85.61